Record 1
Li6ZnPd2 | GGA-PBE | relaxed

Cell: 13.3967 5.2343 4.1944 Å, 90.00 108.02 90.00°
With the nearest neighbours (Å) after each atom.
Space group C2/m (No. 12)
Inequivalent atoms, fractional coordinates:
Li 0.0000 0.2205 0.0000 [4 per cell]  3 Li 2.31-2.50, 2 Zn 2.56
Li 0.1959 0.2527 0.1964 [8 per cell]  5 Li 2.50-2.65, 2 Pd 2.72-2.73
Zn 0.0000 0.5000 0.5000 [2 per cell]  4 Li 2.56
Pd 0.1079 0.0000 0.6076 [4 per cell]  10 Li 2.72-2.82, 1 Pd 2.75, 2 Zn 2.96

Values from the calculation:
E above lowest polymorph   1.06 eV/f.u.
Mass density   3.798 g/cm3


Record 2
LiZn5Pd8 | GGA-PBE | relaxed

Cell: 7.4044 7.4044 7.7845 Å, 90.00 90.00 90.00°
With the nearest neighbours (Å) after each atom.
Space group I-4 (No. 82)
Inequivalent atoms, fractional coordinates:
Li 0.0000 0.0000 0.0000 [2 per cell]  4 Pd 2.44
Zn 0.0000 0.5000 0.7500 [2 per cell]  8 Pd 2.53-2.56
Zn 0.1226 0.2727 0.3394 [8 per cell]  8 Pd 2.57-2.74
Pd 0.0752 0.1754 0.6600 [8 per cell]  5 Zn 2.56-2.67, 2 Pd 2.79-2.83
Pd 0.0796 0.3194 0.0152 [8 per cell]  1 Li 2.44, 4 Zn 2.53-2.68

Values from the calculation:
Mass density   9.224 g/cm3


Record 3
Li3Zn4Pd4 | GGA-PBE | relaxed

Cell: 2.7983 4.2745 13.2881 Å, 80.89 89.74 89.99°
With the nearest neighbours (Å) after each atom.
Space group P1 (No. 1)
Inequivalent atoms, fractional coordinates:
Li 0.0000 0.0000 0.0000 [1 per cell]  2 Zn 2.47-2.48, 4 Pd 2.63-2.64
Li 0.2379 0.3578 0.2865 [1 per cell]  4 Zn 2.56-2.81, 6 Pd 2.68-2.80, 2 Li 2.80
Li 0.7461 0.6423 0.7136 [1 per cell]  4 Zn 2.56-2.81, 6 Pd 2.68-2.79, 2 Li 2.80
Zn 0.2445 0.7354 0.5285 [1 per cell]  4 Pd 2.64-2.70, 6 Zn 2.65-2.80, 2 Li 2.79-2.81
Zn 0.2725 0.9118 0.1786 [1 per cell]  3 Li 2.47-2.57, 4 Pd 2.66-2.71
Zn 0.7128 0.0881 0.8218 [1 per cell]  3 Li 2.48-2.57, 4 Pd 2.66-2.71
Zn 0.7394 0.2646 0.4717 [1 per cell]  4 Pd 2.64-2.69, 6 Zn 2.65-2.80, 2 Li 2.80-2.81
Pd 0.2335 0.1756 0.6470 [1 per cell]  6 Zn 2.64-2.71, 4 Li 2.68-2.72, 2 Pd 2.80
Pd 0.2520 0.5507 0.8965 [1 per cell]  4 Li 2.63-2.79, 4 Zn 2.68-2.80, 2 Pd 2.80
Pd 0.7322 0.4496 0.1032 [1 per cell]  4 Li 2.64-2.80, 4 Zn 2.68-2.80, 2 Pd 2.80
Pd 0.7511 0.8244 0.3533 [1 per cell]  6 Zn 2.64-2.71, 4 Li 2.68-2.72, 2 Pd 2.80

Values from the calculation:
Mass density   7.493 g/cm3


Record 4
LiZn12Pd6 | GGA-PBE | relaxed

Cell: 11.6088 11.6088 8.1353 Å, 90.00 90.00 120.00°
With the nearest neighbours (Å) after each atom.
Space group R-3m (No. 166, hexagonal axes)
Inequivalent atoms, fractional coordinates:
Li 0.0000 0.0000 0.0000 [3 per cell]  6 Zn 2.81
Zn 0.0000 0.3870 0.5000 [18 per cell]  4 Pd 2.58-2.59, 3 Zn 2.62-2.73
Zn 0.0797 0.1593 0.2844 [18 per cell]  4 Pd 2.59-2.80, 4 Zn 2.73-2.77, 1 Li 2.81
Pd 0.0598 0.5299 0.2362 [18 per cell]  8 Zn 2.58-2.80

Values from the calculation:
Mass density   7.505 g/cm3


Calculated formation energy in eV/atom, matching the order above: -0.17; -0.38; -0.43; -0.25